No. 1
Below is an optimized crystal structure of CaTbSi4, with properties calculated at the PBE-GGA level.

abc: 7.5757 7.5757 7.5757
angles: 90.00 90.00 90.00
Space group F-43m (No. 216)
Asymmetric unit:
Ca  0.0000  0.0000  0.0000 [4 per cell]
Tb  0.2500  0.2500  0.2500 [4 per cell]
Si  0.1249  0.1249  0.6249 [16 per cell]

Polymorph energy (0 for the lowest one): 0.1573 eV/atom
Formation energy from raw total energies: -0.272 eV/atom



No. 2
Below is an optimized crystal structure of LaDy2Y5Sc, with properties calculated at the PBE-GGA level.

abc: 5.5852 20.6848 10.0638
angles: 90.00 90.00 90.00
Space group Cmc2_1 (No. 36)
Asymmetric unit:
La  0.0000  0.1075  0.0000 [4 per cell]
Dy  0.0000  0.3769  0.2964 [4 per cell]
Dy  0.0000  0.3974  0.8901 [4 per cell]
Y  0.0000  0.0180  0.3107 [4 per cell]
Y  0.0000  0.1282  0.5999 [4 per cell]
Y  0.0000  0.1952  0.2908 [4 per cell]
Y  0.0000  0.2525  0.9552 [4 per cell]
Y  0.0000  0.4803  0.5879 [4 per cell]
Sc  0.0000  0.3089  0.6074 [4 per cell]

Energy relative to the elements: 0.168 eV per atom



No. 3
Below is an optimized crystal structure of YWCl3, with properties calculated at the PBE-GGA level.

abc: 5.3207 5.3207 5.3207
angles: 90.00 90.00 90.00
Space group Pm-3m (No. 221)
Asymmetric unit:
Y  0.0000  0.0000  0.0000 [1 per cell]
W  0.5000  0.5000  0.5000 [1 per cell]
Cl  0.0000  0.0000  0.5000 [3 per cell]

Polymorph energy (0 for the lowest one): 0.0000 eV/atom
Formation energy from raw total energies: -0.154 eV/atom



No. 4
Below is an optimized crystal structure of KNdHg2Cl8, with properties calculated at the PBE-GGA level.

abc: 6.6690 6.8893 8.9988
angles: 81.89 76.33 87.84
Space group P-1 (No. 2)
Asymmetric unit:
K  0.0000  0.0000  0.0000 [1 per cell]
Nd  0.0000  0.0000  0.5000 [1 per cell]
Hg  0.4731  0.4806  0.2319 [2 per cell]
Cl  0.2154  0.8247  0.7023 [2 per cell]
Cl  0.2460  0.3429  0.4705 [2 per cell]
Cl  0.2522  0.8558  0.2543 [2 per cell]
Cl  0.2697  0.3841  0.9879 [2 per cell]

Formation energy from raw total energies: -1.353 eV/atom



| no. | total moment (μB/f.u.) | Fermi-level density of states (states/eV/cell) |
| --- | --- | --- |
| 1 | 0.00 | 14.1 |
| 2 | 0.00 | 61.7 |
| 3 | 6.00 | 7.8 |
| 4 | 0.00 | 0.0 |